Record 1
Na2NdMnS4 | PBE | optimized geometry

Values from the calculation:
- Raw total energy: -5.36 eV per atom

Cell lengths 7.817, 7.817, 8.107 Å; angles 120.00, 120.00, 89.29 degrees
Fractional positions:
Mn 0.000 0.000 0.000
S 0.781 0.225 0.008
S 0.219 0.775 0.992
S 0.291 0.288 0.513
Nd 0.000 0.500 0.500
S 0.275 0.719 0.492
Na 0.000 0.000 0.500
Mn 0.500 0.500 0.500
Na 0.500 0.000 0.000
S 0.788 0.791 0.013
Na 0.500 0.500 0.000
S 0.725 0.281 0.508
S 0.212 0.209 0.987
Nd 0.000 0.500 0.000
Na 0.500 0.000 0.500
S 0.709 0.712 0.487

Record 2
LiCuC2O5 | PBE | optimized geometry

Values from the calculation:
- Raw total energy: -6.74 eV per atom

Cell lengths 7.348, 7.348, 10.124 Å; angles 68.23, 68.23, 91.48 degrees
Fractional positions:
O 0.555 0.191 0.189
O 0.279 0.727 0.432
O 0.128 0.160 0.777
Li 0.970 0.681 0.107
O 0.399 0.261 0.020
O 0.082 0.291 0.073
Cu 0.785 0.215 0.250
O 0.601 0.739 0.980
O 0.273 0.721 0.068
C 0.761 0.436 0.446
O 0.727 0.279 0.932
O 0.809 0.445 0.311
O 0.721 0.273 0.568
O 0.739 0.601 0.480
Li 0.319 0.030 0.393
C 0.436 0.761 0.946
C 0.802 0.779 0.863
C 0.564 0.239 0.054
C 0.198 0.221 0.137
O 0.709 0.918 0.427
O 0.160 0.128 0.277
O 0.191 0.555 0.689
O 0.918 0.709 0.927
O 0.261 0.399 0.520
O 0.872 0.840 0.223
C 0.221 0.198 0.637
Li 0.681 0.970 0.607
Li 0.030 0.319 0.893
O 0.840 0.872 0.723
Cu 0.287 0.713 0.250
C 0.239 0.564 0.554
C 0.779 0.802 0.363
Cu 0.713 0.287 0.750
Cu 0.215 0.785 0.750
O 0.291 0.082 0.573
O 0.445 0.809 0.811

Record 3
Sr2Y2I | PBE | optimized geometry

Values from the calculation:
- Raw total energy: -3.13 eV per atom

Cell lengths 4.602, 4.602, 10.278 Å; angles 77.06, 77.06, 90.00 degrees
Fractional positions:
Sr 0.250 0.750 0.500
I 0.000 0.000 0.000
Y 0.591 0.591 0.818
Y 0.409 0.409 0.182
Sr 0.750 0.250 0.500

Record 4
MnC5 | PBE | optimized geometry

Values from the calculation:
- Formation energy: 5.8 eV per formula unit
- Raw total energy: -8.24 eV per atom

Cell lengths 6.585, 6.585, 2.571 Å; angles 90.00, 90.00, 157.73 degrees
Fractional positions:
C 0.258 0.742 0.500
C 0.320 0.680 0.000
C 0.620 0.380 0.000
C 0.455 0.545 0.500
Mn 0.997 0.003 0.000
C 0.684 0.316 0.500

Record 5
Mn2BRu | PBE | optimized geometry

Values from the calculation:
- Formation energy: 1.7 eV per formula unit
- Raw total energy: -8.15 eV per atom

Cell lengths 3.284, 3.284, 8.579 Å; angles 78.97, 78.97, 90.00 degrees
Fractional positions:
Mn 0.568 0.125 0.250
B 0.500 0.500 0.000
Mn 0.875 0.818 0.750
Ru 0.000 0.000 0.000
Mn 0.182 0.625 0.250
Mn 0.375 0.432 0.750
B 0.250 0.750 0.500
Ru 0.750 0.250 0.500

Record 6
PrCuGe2Pd | PBE | optimized geometry

Values from the calculation:
- Formation energy: -3.4 eV per formula unit
- Raw total energy: -5.35 eV per atom

Cell lengths 4.259, 4.259, 5.998 Å; angles 110.80, 110.80, 90.00 degrees
Fractional positions:
Ge 0.621 0.621 0.243
Pr 0.000 0.000 0.000
Ge 0.379 0.379 0.757
Cu 0.250 0.750 0.500
Pd 0.750 0.250 0.500

What did the second record say?
LiCuC2O5 | PBE | optimized geometry

Values from the calculation:
- Raw total energy: -6.74 eV per atom

Cell lengths 7.348, 7.348, 10.124 Å; angles 68.23, 68.23, 91.48 degrees
Fractional positions:
O 0.555 0.191 0.189
O 0.279 0.727 0.432
O 0.128 0.160 0.777
Li 0.970 0.681 0.107
O 0.399 0.261 0.020
O 0.082 0.291 0.073
Cu 0.785 0.215 0.250
O 0.601 0.739 0.980
O 0.273 0.721 0.068
C 0.761 0.436 0.446
O 0.727 0.279 0.932
O 0.809 0.445 0.311
O 0.721 0.273 0.568
O 0.739 0.601 0.480
Li 0.319 0.030 0.393
C 0.436 0.761 0.946
C 0.802 0.779 0.863
C 0.564 0.239 0.054
C 0.198 0.221 0.137
O 0.709 0.918 0.427
O 0.160 0.128 0.277
O 0.191 0.555 0.689
O 0.918 0.709 0.927
O 0.261 0.399 0.520
O 0.872 0.840 0.223
C 0.221 0.198 0.637
Li 0.681 0.970 0.607
Li 0.030 0.319 0.893
O 0.840 0.872 0.723
Cu 0.287 0.713 0.250
C 0.239 0.564 0.554
C 0.779 0.802 0.363
Cu 0.713 0.287 0.750
Cu 0.215 0.785 0.750
O 0.291 0.082 0.573
O 0.445 0.809 0.811